Record 1
Here is a relaxed structure of YMgZn from the Open Quantum Materials Database. Energies are from PBE.

Calculated values
Symmetry: No. 156

Unit cell a=4.9417 b=4.9417 c=9.6006 alpha=90.00 beta=90.00 gamma=120.00
With the nearest neighbours (Å) after each atom.
Positions (direct):
Mg 0.0000 0.0000 0.5427  3 Zn 2.90, 1 Mg 3.22
Mg 0.0000 0.0000 0.1980  6 Zn 3.07-3.16, 2 Mg 3.07-3.31, 6 Y 3.30-3.38
Mg 0.0000 0.0000 0.8779  2 Mg 3.07-3.22, 6 Y 3.12-3.17, 3 Zn 3.33
Y 0.3333 0.6667 0.7338  4 Zn 3.09-3.13, 6 Mg 3.17-3.39
Y 0.3333 0.6667 0.3710  4 Zn 2.90-3.02
Y 0.6667 0.3333 0.0099  4 Zn 2.89-2.94, 3 Mg 3.12
Zn 0.6667 0.3333 0.3163  1 Zn 2.71, 4 Y 2.90-2.94
Zn 0.3333 0.6667 0.0561  5 Y 2.89-3.09, 3 Mg 3.16
Zn 0.6667 0.3333 0.5989  1 Zn 2.71, 3 Mg 2.90


Record 2
Here is a relaxed structure of YMgZn from the Open Quantum Materials Database. Energies are from PBE.

Calculated values
Symmetry: No. 156

Unit cell a=4.2529 b=4.2529 c=9.5463 alpha=90.00 beta=90.00 gamma=120.00
With the nearest neighbours (Å) after each atom.
Positions (direct):
Zn 0.0000 0.0000 0.4564  3 Zn 2.47
Zn 0.6667 0.3333 0.4836  3 Zn 2.47, 3 Mg 2.74
Mg 0.6667 0.3333 0.0423  6 Y 3.25-3.29
Mg 0.3333 0.6667 0.6107  6 Zn 2.74-2.86
Y 0.3333 0.6667 0.2718  6 Zn 3.02-3.18, 4 Mg 3.24-3.29
Y 0.0000 0.0000 0.8187  6 Mg 3.16-3.25, 1 Zn 3.46


Record 3
Here is a relaxed structure of YMgZn from the Open Quantum Materials Database. Energies are from PBE.

Calculated values
Symmetry: No. 156

Unit cell a=5.0294 b=5.0294 c=9.2712 alpha=90.00 beta=90.00 gamma=120.00
With the nearest neighbours (Å) after each atom.
Positions (direct):
Zn 0.3333 0.6667 0.8559  1 Mg 2.92, 7 Y 2.99-3.09
Zn 0.6667 0.3333 0.0817  1 Mg 2.84, 7 Y 3.04-3.09
Zn 0.0000 0.0000 0.6418  4 Mg 2.81-3.05, 4 Y 3.03-3.07
Mg 0.6667 0.3333 0.3883  1 Zn 2.84, 3 Mg 2.94
Mg 0.0000 0.0000 0.3393  1 Zn 2.81, 3 Mg 2.94
Mg 0.3333 0.6667 0.5415  4 Zn 2.92-3.05, 3 Mg 3.23
Y 0.3333 0.6667 0.1789  4 Zn 2.99-3.04, 3 Mg 3.26
Y 0.0000 0.0000 0.9691  7 Zn 3.03-3.09
Y 0.6667 0.3333 0.7482  7 Zn 3.07-3.09, 1 Mg 3.34


no.,excess energy over the best structure of this formula in the dataset (eV per formula unit)
1,0.23
2,0.87
3,0.22